[1]
Computed, not measured: a relaxed ZnSbSe2N crystal at the PBE-GGA level of DFT.

The offset from the most stable computed form comes out at 0.000 eV per atom. For the formation energy without anion corrections, the calculation gives 668.7 meV per atom.

Geometry as CIF:
```
data_ZnSbSe2N
_chemical_formula_sum 'Zn1 Sb1 Se2 N1'
_space_group_name_H-M_alt 'P 4/m m m'
_space_group_IT_number 123
_space_group_name_Hall '-P 4 2'
_cell_length_a 5.171
_cell_length_b 5.171
_cell_length_c 3.805
_cell_angle_alpha 90.00
_cell_angle_beta 90.00
_cell_angle_gamma 90.00
loop_
_atom_site_label
_atom_site_fract_x
_atom_site_fract_y
_atom_site_fract_z
Zn1 0.000 0.000 0.000
Sb1 0.500 0.500 0.500
Se1 0.000 0.500 0.000
N1 0.000 0.000 0.500
```

=====

[2]
Computed, not measured: a relaxed Li6La2Ga3 crystal at the PBE-GGA level of DFT.

The energy of formation is -227 meV/atom.

Geometry as CIF:
```
data_Li6La2Ga3
_chemical_formula_sum 'Li6 La2 Ga3'
_space_group_name_H-M_alt 'P -6 2 m'
_space_group_IT_number 189
_space_group_name_Hall 'P -6 -2'
_cell_length_a 7.7193
_cell_length_b 7.7193
_cell_length_c 4.5949
_cell_angle_alpha 90.00
_cell_angle_beta 90.00
_cell_angle_gamma 120.00
loop_
_atom_site_label
_atom_site_fract_x
_atom_site_fract_y
_atom_site_fract_z
Li1 0.0000 0.2407 0.0000
Li2 0.0000 0.7907 0.5000
La1 0.3333 0.6667 0.5000
Ga1 0.0000 0.5856 0.0000
```

=====

[3]
Computed, not measured: a relaxed InIrS2N crystal at the PBE-GGA level of DFT.

The offset from the most stable computed form comes out at 1.553 eV per atom. For the formation energy without anion corrections, the calculation gives 1791.7 meV per atom.

Geometry as CIF:
```
data_InIrS2N
_chemical_formula_sum 'In1 Ir1 S2 N1'
_space_group_name_H-M_alt 'P 4/m m m'
_space_group_IT_number 123
_space_group_name_Hall '-P 4 2'
_cell_length_a 4.971
_cell_length_b 4.971
_cell_length_c 3.939
_cell_angle_alpha 90.00
_cell_angle_beta 90.00
_cell_angle_gamma 90.00
loop_
_atom_site_label
_atom_site_fract_x
_atom_site_fract_y
_atom_site_fract_z
In1 0.000 0.000 0.000
Ir1 0.500 0.500 0.500
S1 0.000 0.500 0.000
N1 0.000 0.000 0.500
```

=====

[4]
Computed, not measured: a relaxed ZnMo2P crystal at the PBE-GGA level of DFT.

The energy of formation is 130 meV/atom. The offset from the most stable computed form comes out at 0.191 eV per atom.

Geometry as CIF:
```
data_ZnMo2P
_chemical_formula_sum 'Zn3 Mo6 P3'
_space_group_name_H-M_alt 'R 3 m'
_space_group_IT_number 160
_space_group_name_Hall 'R 3 -2"'
_cell_length_a 2.9088
_cell_length_b 2.9088
_cell_length_c 25.4534
_cell_angle_alpha 90.00
_cell_angle_beta 90.00
_cell_angle_gamma 120.00
loop_
_atom_site_label
_atom_site_fract_x
_atom_site_fract_y
_atom_site_fract_z
Zn1 0.0000 0.0000 0.0000
Mo1 0.0000 0.0000 0.5101
Mo2 0.0000 0.0000 0.7540
P1 0.0000 0.0000 0.2464
```

=====

[5]
Computed, not measured: a relaxed RbTl2H2 crystal at the PBE-GGA level of DFT.

The calculation puts the calculated total energy at -2.28 eV/atom.

Geometry as CIF:
```
data_RbTl2H2
_chemical_formula_sum 'Rb2 Tl4 H4'
_space_group_name_H-M_alt 'I 4/m m m'
_space_group_IT_number 139
_space_group_name_Hall '-I 4 2'
_cell_length_a 4.245
_cell_length_b 4.245
_cell_length_c 14.001
_cell_angle_alpha 90.00
_cell_angle_beta 90.00
_cell_angle_gamma 90.00
loop_
_atom_site_label
_atom_site_fract_x
_atom_site_fract_y
_atom_site_fract_z
Rb1 0.000 0.000 0.000
Tl1 0.000 0.000 0.326
H1 0.000 0.500 0.250
```

=====

[6]
Computed, not measured: a relaxed Mg2CdCuBi crystal at the PBE-GGA level of DFT.

The energy of formation is 113 meV/atom.

Geometry as CIF:
```
data_Mg2CdCuBi
_chemical_formula_sum 'Mg2 Cd1 Cu1 Bi1'
_space_group_name_H-M_alt 'P 4/m m m'
_space_group_IT_number 123
_space_group_name_Hall '-P 4 2'
_cell_length_a 4.975
_cell_length_b 4.975
_cell_length_c 4.955
_cell_angle_alpha 90.00
_cell_angle_beta 90.00
_cell_angle_gamma 90.00
loop_
_atom_site_label
_atom_site_fract_x
_atom_site_fract_y
_atom_site_fract_z
Mg1 0.000 0.500 0.000
Cd1 0.000 0.000 0.500
Cu1 0.000 0.000 0.000
Bi1 0.500 0.500 0.500
```

=====

Number 1: density of states at the Fermi level 2.5 states/eV/f.u.. Number 2: density of states at the Fermi level 7.7 states/eV/f.u.. Number 3: density of states at the Fermi level 8.9 states/eV/f.u.. Number 4: density of states at the Fermi level 4.0 states/eV/f.u.. Number 5: density of states at the Fermi level 1.5 states/eV/f.u.. Number 6: density of states at the Fermi level 2.0 states/eV/f.u..